# 1
Sr3P4O13 | GGA-PBE | relaxed

The structure in POSCAR format:
```
Sr3P4O13
1.0
7.356 0.012 0.005
-0.584 7.847 -0.003
-2.343 -2.440 9.735
Sr P O
6 8 26
Cartesian
4.456 5.138 3.647 Sr
-0.026 0.280 6.090 Sr
4.752 1.411 1.343 Sr
-0.322 4.007 8.394 Sr
3.734 -1.706 7.369 Sr
0.696 7.125 2.368 Sr
-0.064 2.786 3.387 P
4.494 2.633 6.350 P
5.550 6.327 0.215 P
-1.120 -0.908 9.522 P
3.675 0.305 4.768 P
0.755 5.113 4.969 P
2.420 1.535 8.376 P
2.010 3.883 1.360 P
1.195 2.071 7.689 O
3.235 3.348 2.048 O
3.740 1.826 7.517 O
0.690 3.593 2.219 O
0.339 1.340 3.544 O
4.090 4.078 6.193 O
4.575 4.026 9.312 O
-0.146 1.393 0.425 O
4.026 1.898 5.017 O
0.403 3.521 4.720 O
5.835 3.055 3.101 O
-1.405 2.364 6.636 O
2.425 0.029 5.587 O
2.004 5.390 4.150 O
2.313 0.660 0.448 O
2.116 4.759 9.288 O
-0.453 5.926 4.439 O
4.883 -0.507 5.298 O
-1.120 -1.079 7.995 O
5.550 6.498 1.742 O
-0.631 0.660 9.731 O
5.061 4.759 0.006 O
0.887 5.214 6.487 O
3.542 0.204 3.250 O
2.000 5.355 1.021 O
2.429 0.064 8.715 O
```

Summary:
- Magnetization: 0.00 μB/atom
- Crystal system: triclinic
- Calculated density: 3.5 g/cm3
- Raw formation energy: -2.6688 eV per atom
- DOS at the Fermi energy: 0.00 states/eV per cell
- Symmetry: P-1

---

# 2
Al2GaTc | GGA-PBE | relaxed

The structure in POSCAR format:
```
Al2GaTc
1.0
7.432 0.000 0.000
0.000 7.432 0.000
3.716 3.716 2.578
Tc Ga Al
2 2 4
Cartesian
0.000 0.000 0.000 Tc
7.432 3.716 1.289 Tc
3.716 3.716 0.000 Ga
3.716 7.432 1.289 Ga
5.878 1.858 0.644 Al
1.554 5.574 0.644 Al
5.574 5.270 1.933 Al
9.291 9.595 1.933 Al
```

Summary:
- Magnetization: 0.00 μB/atom
- Crystal system: tetragonal
- Calculated density: 5.2 g/cm3
- DOS at the Fermi energy: 2.09 states/eV per cell
- Energy of formation: 0.3201 eV per atom
- Symmetry: I-42d

---

# 3
NdTaFe | GGA-PBE | relaxed

The structure in POSCAR format:
```
NdTaFe
1.0
4.377 0.000 0.000
0.000 4.377 0.000
0.000 0.000 6.528
Nd Fe Ta
2 2 2
Cartesian
0.000 2.188 5.664 Nd
2.188 0.000 0.864 Nd
0.000 2.188 2.053 Fe
2.188 0.000 4.475 Fe
2.188 2.188 3.264 Ta
0.000 0.000 3.264 Ta
```

Summary:
- Magnetization: 0.00 μB/atom
- Crystal system: tetragonal
- Calculated density: 10.1 g/cm3
- DOS at the Fermi energy: 7.25 states/eV per cell
- Energy of formation: 0.0220 eV per atom
- Symmetry: P4/nmm

---

# 4
LiCdPb4 | GGA-PBE | relaxed

The structure in POSCAR format:
```
LiCdPb4
1.0
0.000 4.584 4.584
4.584 0.000 4.584
4.584 4.584 0.000
Li Cd Pb
1 1 4
Cartesian
0.000 0.000 0.000 Li
6.877 6.877 6.877 Cd
3.437 5.732 5.732 Pb
5.732 5.732 3.437 Pb
5.732 3.437 5.732 Pb
3.437 3.437 3.437 Pb
```

Summary:
- Magnetization: 0.00 μB/atom
- Crystal system: cubic
- Calculated density: 8.2 g/cm3
- DOS at the Fermi energy: 3.21 states/eV per cell
- Energy of formation: 0.1135 eV per atom
- Symmetry: F-43m
- Relative energy among the computed polymorphs: 0.83 eV per formula unit

---

> Which formula does entry 2 have?

Al2GaTc